! RbRe3As | the Alexandria database | GGA-PBEsol | relaxed; values from VASP
! DFT total energy	-0.1841	hartree per atom
! formation energy	21.1	eV per formula unit
&SYSTEM
  ibrav = 0, nat = 5, ntyp = 3
/
ATOMIC_SPECIES
Rb 85.47 Rb.upf
Re 186.21 Re.upf
As 74.92 As.upf
CELL_PARAMETERS angstrom
4.655 0.000 0.000
0.000 4.655 0.000
0.000 0.000 4.655
ATOMIC_POSITIONS angstrom
Rb 0.000 0.000 0.000
Re 0.000 0.000 2.327
Re 0.000 2.327 0.000
Re 2.327 0.000 0.000
As 2.327 2.327 2.327



! MnNiBi3 | the Alexandria database | GGA-PBEsol | relaxed; values from VASP
! DFT total energy	-0.1881	hartree per atom
! formation energy	3.2	eV per formula unit
&SYSTEM
  ibrav = 0, nat = 5, ntyp = 3
/
ATOMIC_SPECIES
Mn 54.94 Mn.upf
Ni 58.69 Ni.upf
Bi 208.98 Bi.upf
CELL_PARAMETERS angstrom
5.078 0.000 0.000
0.000 5.078 0.000
0.000 0.000 5.078
ATOMIC_POSITIONS angstrom
Mn 0.000 0.000 0.000
Ni 2.539 2.539 2.539
Bi 0.000 2.539 2.539
Bi 2.539 0.000 2.539
Bi 2.539 2.539 0.000



! Sr2NiW | the Alexandria database | GGA-PBEsol | relaxed; values from VASP
! DFT total energy	-0.1712	hartree per atom
! formation energy	5.0	eV per formula unit
! E above lowest polymorph	2.26	eV per formula unit
&SYSTEM
  ibrav = 0, nat = 4, ntyp = 3
/
ATOMIC_SPECIES
Sr 87.62 Sr.upf
Ni 58.69 Ni.upf
W 183.84 W.upf
CELL_PARAMETERS angstrom
5.115 0.000 0.000
0.000 5.115 0.000
0.000 0.000 3.743
ATOMIC_POSITIONS angstrom
Sr 0.000 2.558 0.000
Sr 2.558 0.000 0.000
Ni 0.000 0.000 1.871
W 2.558 2.558 1.871



! Y5Cu | the Alexandria database | GGA-PBEsol | relaxed; values from VASP
! DFT total energy	-0.2368	hartree per atom
! formation energy	-0.2	eV per formula unit
! E above lowest polymorph	0.05	eV per formula unit
&SYSTEM
  ibrav = 0, nat = 6, ntyp = 2
/
ATOMIC_SPECIES
Y 88.91 Y.upf
Cu 63.55 Cu.upf
CELL_PARAMETERS angstrom
5.963 -1.783 0.000
5.963 1.783 0.000
-3.111 0.000 7.690
ATOMIC_POSITIONS angstrom
Y 0.000 0.000 0.000
Y 3.310 0.000 1.579
Y 2.380 0.000 4.878
Y 6.435 0.000 2.812
Y 5.505 0.000 6.111
Cu -1.555 0.000 3.845



! KRuN2 | the Alexandria database | GGA-PBEsol | relaxed; values from VASP
! DFT total energy	-0.2397	hartree per atom
! E_form (uncorrected)	219	kJ/mol of formula units
&SYSTEM
  ibrav = 0, nat = 4, ntyp = 3
/
ATOMIC_SPECIES
K 39.10 K.upf
Ru 101.07 Ru.upf
N 14.01 N.upf
CELL_PARAMETERS angstrom
1.576 0.910 6.663
-1.576 0.910 6.663
0.000 -1.820 6.663
ATOMIC_POSITIONS angstrom
K 0.000 0.000 0.000
Ru 0.000 0.000 9.995
N 0.000 0.000 2.434
N 0.000 0.000 17.556



! Li2Mn3FeO8 | the Alexandria database | GGA-PBEsol | relaxed; values from VASP
! DFT total energy	-0.2840	hartree per atom
! E_form (uncorrected)	-2317	kJ/mol of formula units
! E above lowest polymorph	0.92	eV per formula unit
&SYSTEM
  ibrav = 0, nat = 28, ntyp = 4
/
ATOMIC_SPECIES
Li 6.94 Li.upf
Mn 54.94 Mn.upf
Fe 55.84 Fe.upf
O 16.00 O.upf
CELL_PARAMETERS angstrom
5.611 0.000 0.000
-2.805 4.859 0.000
0.000 0.000 9.162
ATOMIC_POSITIONS angstrom
Li 0.000 0.000 0.000
Li 0.000 0.000 4.581
Li 0.000 3.239 0.938
Li 2.805 1.620 5.519
Mn 0.000 1.649 7.186
Mn -1.377 4.034 7.186
Mn 1.428 0.824 2.606
Mn 1.377 4.034 7.186
Mn 4.183 0.824 2.606
Mn 2.805 3.210 2.606
Fe 0.000 3.239 4.706
Fe 2.805 1.620 0.125
O 0.000 0.000 1.718
O 0.000 0.000 6.299
O -1.228 2.531 6.020
O 0.000 1.627 3.649
O -1.396 4.046 3.649
O 0.000 3.239 8.187
O 1.409 0.813 8.229
O 1.228 2.531 6.020
O 0.000 4.657 6.020
O 2.805 0.202 1.440
O 1.578 2.328 1.440
O 1.396 4.046 3.649
O 2.805 1.620 3.606
O 4.202 0.813 8.229
O 2.805 3.232 8.229
O 4.033 2.328 1.440



! CeInAg2 | the Alexandria database | GGA-PBEsol | relaxed; values from VASP
! DFT total energy	-0.1581	hartree per atom
! formation energy	-1.0	eV per formula unit
&SYSTEM
  ibrav = 0, nat = 4, ntyp = 3
/
ATOMIC_SPECIES
Ce 140.12 Ce.upf
In 114.82 In.upf
Ag 107.87 Ag.upf
CELL_PARAMETERS angstrom
0.000 3.491 3.491
3.491 0.000 3.491
3.491 3.491 0.000
ATOMIC_POSITIONS angstrom
Ce 0.000 0.000 0.000
In 3.491 3.491 3.491
Ag 1.746 1.746 1.746
Ag 5.237 5.237 5.237



! BaMnTe2 | the Alexandria database | GGA-PBEsol | relaxed; values from VASP
! DFT total energy	-0.1902	hartree per atom
! E_form (uncorrected)	-168	kJ/mol of formula units
&SYSTEM
  ibrav = 0, nat = 4, ntyp = 3
/
ATOMIC_SPECIES
Ba 137.33 Ba.upf
Mn 54.94 Mn.upf
Te 127.60 Te.upf
CELL_PARAMETERS angstrom
2.339 -3.223 0.000
2.339 3.223 0.000
0.000 0.000 8.128
ATOMIC_POSITIONS angstrom
Ba 0.000 0.000 0.000
Mn 0.000 0.000 4.064
Te 2.339 0.000 2.329
Te 2.339 0.000 5.799



! Cd2BiHF | the Alexandria database | GGA-PBEsol | relaxed; values from VASP
! DFT total energy	-0.0886	hartree per atom
&SYSTEM
  ibrav = 0, nat = 5, ntyp = 4
/
ATOMIC_SPECIES
Cd 112.41 Cd.upf
Bi 208.98 Bi.upf
H 1.01 H.upf
F 19.00 F.upf
CELL_PARAMETERS angstrom
5.650 0.000 0.000
0.000 5.650 0.000
0.000 0.000 3.904
ATOMIC_POSITIONS angstrom
Cd 0.000 2.825 0.000
Cd 2.825 0.000 0.000
Bi 0.000 0.000 0.000
H 0.000 0.000 1.952
F 2.825 2.825 1.952



! CrFeAs2 | the Alexandria database | GGA-PBEsol | relaxed; values from VASP
! DFT total energy	-0.2790	hartree per atom
! formation energy	-1.0	eV per formula unit
! E above lowest polymorph	0.00	eV per formula unit
&SYSTEM
  ibrav = 0, nat = 8, ntyp = 3
/
ATOMIC_SPECIES
Cr 52.00 Cr.upf
Fe 55.84 Fe.upf
As 74.92 As.upf
CELL_PARAMETERS angstrom
3.370 0.000 0.000
0.000 5.402 0.000
0.000 0.000 5.992
ATOMIC_POSITIONS angstrom
Cr 0.000 1.308 0.000
Cr 1.685 4.095 2.996
Fe 0.000 4.034 5.332
Fe 1.685 1.368 2.335
As 0.000 0.332 3.706
As 0.000 2.960 1.659
As 1.685 2.443 4.655
As 1.685 5.070 0.710



! LaCd2Au | the Alexandria database | GGA-PBEsol | relaxed; values from VASP
! DFT total energy	-0.1205	hartree per atom
! formation energy	-1.4	eV per formula unit
&SYSTEM
  ibrav = 0, nat = 4, ntyp = 3
/
ATOMIC_SPECIES
La 138.91 La.upf
Cd 112.41 Cd.upf
Au 196.97 Au.upf
CELL_PARAMETERS angstrom
3.512 0.000 0.000
0.000 3.512 0.000
0.000 0.000 7.453
ATOMIC_POSITIONS angstrom
La 0.000 0.000 0.000
Cd 0.000 0.000 3.452
Cd 1.756 1.756 5.125
Au 1.756 1.756 1.896



! LiY2Si | the Alexandria database | GGA-PBEsol | relaxed; values from VASP
! DFT total energy	-0.2107	hartree per atom
! E_form (uncorrected)	-152	kJ/mol of formula units
&SYSTEM
  ibrav = 0, nat = 4, ntyp = 3
/
ATOMIC_SPECIES
Li 6.94 Li.upf
Y 88.91 Y.upf
Si 28.09 Si.upf
CELL_PARAMETERS angstrom
4.737 0.000 0.000
0.000 4.737 0.000
0.000 0.000 3.850
ATOMIC_POSITIONS angstrom
Li 0.000 0.000 0.000
Y 0.000 2.369 1.925
Y 2.369 0.000 1.925
Si 2.369 2.369 0.000



! LiW3Cl | the Alexandria database | GGA-PBEsol | relaxed; values from VASP
! DFT total energy	-0.2507	hartree per atom
! E_form (uncorrected)	1089	kJ/mol of formula units
&SYSTEM
  ibrav = 0, nat = 5, ntyp = 3
/
ATOMIC_SPECIES
Li 6.94 Li.upf
W 183.84 W.upf
Cl 35.45 Cl.upf
CELL_PARAMETERS angstrom
4.266 0.000 0.000
0.000 4.266 0.000
0.000 0.000 4.266
ATOMIC_POSITIONS angstrom
Li 0.000 0.000 0.000
W 0.000 0.000 2.133
W 0.000 2.133 0.000
W 2.133 0.000 0.000
Cl 2.133 2.133 2.133



! Sr3NbGe | the Alexandria database | GGA-PBEsol | relaxed; values from VASP
! DFT total energy	-0.1311	hartree per atom
! formation energy	3.4	eV per formula unit
&SYSTEM
  ibrav = 0, nat = 5, ntyp = 3
/
ATOMIC_SPECIES
Sr 87.62 Sr.upf
Nb 92.91 Nb.upf
Ge 72.64 Ge.upf
CELL_PARAMETERS angstrom
5.928 0.000 0.000
0.000 5.928 0.000
0.000 0.000 5.928
ATOMIC_POSITIONS angstrom
Sr 0.000 0.000 2.964
Sr 0.000 2.964 0.000
Sr 2.964 0.000 0.000
Nb 2.964 2.964 2.964
Ge 0.000 0.000 0.000



! TaOsBr4 | the Alexandria database | GGA-PBEsol | relaxed; values from VASP
! DFT total energy	-0.1246	hartree per atom
! E_form (uncorrected)	1148	kJ/mol of formula units
&SYSTEM
  ibrav = 0, nat = 6, ntyp = 3
/
ATOMIC_SPECIES
Ta 180.95 Ta.upf
Os 190.23 Os.upf
Br 79.90 Br.upf
CELL_PARAMETERS angstrom
0.000 4.014 4.014
4.014 0.000 4.014
4.014 4.014 0.000
ATOMIC_POSITIONS angstrom
Ta 0.000 0.000 0.000
Os 2.007 2.007 2.007
Br 5.016 3.011 3.011
Br 3.011 5.016 3.011
Br 3.011 3.011 5.016
Br 5.016 5.016 5.016



! LaScCr2 | the Alexandria database | GGA-PBEsol | relaxed; values from VASP
! DFT total energy	-0.2767	hartree per atom
! formation energy	2.3	eV per formula unit
&SYSTEM
  ibrav = 0, nat = 4, ntyp = 3
/
ATOMIC_SPECIES
La 138.91 La.upf
Sc 44.96 Sc.upf
Cr 52.00 Cr.upf
CELL_PARAMETERS angstrom
0.000 3.427 3.427
3.427 0.000 3.427
3.427 3.427 0.000
ATOMIC_POSITIONS angstrom
La 0.000 0.000 0.000
Sc 3.427 3.427 3.427
Cr 1.713 1.713 1.713
Cr 5.140 5.140 5.140



! Al2TcCl | the Alexandria database | GGA-PBEsol | relaxed; values from VASP
! DFT total energy	-0.1985	hartree per atom
! E_form (uncorrected)	-14	kJ/mol of formula units
! E above lowest polymorph	1.53	eV per formula unit
&SYSTEM
  ibrav = 0, nat = 4, ntyp = 3
/
ATOMIC_SPECIES
Al 26.98 Al.upf
Tc 98.00 Tc.upf
Cl 35.45 Cl.upf
CELL_PARAMETERS angstrom
3.359 -3.368 0.000
3.359 3.368 0.000
0.000 0.000 2.762
ATOMIC_POSITIONS angstrom
Al 1.680 1.684 0.000
Al 1.680 -1.684 0.000
Tc 0.000 0.000 1.381
Cl 3.359 0.000 1.381



! AlSi2Au | the Alexandria database | GGA-PBEsol | relaxed; values from VASP
! DFT total energy	-0.1703	hartree per atom
! E_form (uncorrected)	94	kJ/mol of formula units
&SYSTEM
  ibrav = 0, nat = 4, ntyp = 3
/
ATOMIC_SPECIES
Al 26.98 Al.upf
Si 28.09 Si.upf
Au 196.97 Au.upf
CELL_PARAMETERS angstrom
0.000 3.175 3.175
3.175 0.000 3.175
3.175 3.175 0.000
ATOMIC_POSITIONS angstrom
Al 0.000 0.000 0.000
Si 1.587 1.587 1.587
Si 3.175 3.175 3.175
Au 4.762 4.762 4.762



! YWAu2 | the Alexandria database | GGA-PBEsol | relaxed; values from VASP
! DFT total energy	-0.2570	hartree per atom
! formation energy	0.5	eV per formula unit
&SYSTEM
  ibrav = 0, nat = 4, ntyp = 3
/
ATOMIC_SPECIES
Y 88.91 Y.upf
W 183.84 W.upf
Au 196.97 Au.upf
CELL_PARAMETERS angstrom
-2.143 2.143 4.026
2.143 -2.143 4.026
2.143 2.143 -4.026
ATOMIC_POSITIONS angstrom
Y 0.000 0.000 0.000
W 0.000 0.000 4.026
Au 2.143 0.000 2.013
Au 0.000 2.143 2.013



! Pb5S2I6 | the Alexandria database | GGA-PBEsol | relaxed; values from VASP
! DFT total energy	-0.1322	hartree per atom
! E_form (uncorrected)	-714	kJ/mol of formula units
&SYSTEM
  ibrav = 0, nat = 13, ntyp = 3
/
ATOMIC_SPECIES
Pb 207.20 Pb.upf
S 32.06 S.upf
I 126.90 I.upf
CELL_PARAMETERS angstrom
7.125 -2.195 0.000
7.125 2.195 0.000
-2.048 0.000 14.340
ATOMIC_POSITIONS angstrom
Pb 0.000 0.000 0.000
Pb 0.840 0.000 6.635
Pb 1.478 0.000 10.930
Pb 10.725 0.000 3.409
Pb 11.363 0.000 7.704
S 2.775 0.000 8.545
S 9.428 0.000 5.794
I 1.306 0.000 2.920
I 5.034 0.000 0.951
I 5.359 0.000 5.127
I 6.844 0.000 9.212
I 7.170 0.000 13.389
I 10.897 0.000 11.420